Entry 1:
# Be2Pt2O (GGA-PBE, relaxed)
# N(E_F) ... 7.7 states/eV per cell
# Energy relative to the elements, uncorrected ... -0.1257 eV/atom
# Total energy ... -25.12 eV/f.u.
# ΔE to the lowest computed polymorph ... 0.247 eV/f.u.
# Magnetic moment ... 0.00 μB per formula unit
data_Be2Pt2O
_chemical_formula_sum 'Be4 Pt4 O2'
_space_group_name_H-M_alt 'I 4/m m m'
_space_group_IT_number 139
_space_group_name_Hall '-I 4 2'
_cell_length_a 2.988
_cell_length_b 2.988
_cell_length_c 12.727
_cell_angle_alpha 90.00
_cell_angle_beta 90.00
_cell_angle_gamma 90.00
loop_
_atom_site_label
_atom_site_type_symbol
_atom_site_fract_x
_atom_site_fract_y
_atom_site_fract_z
Be1 Be 0.000 0.500 0.250
Pt1 Pt 0.000 0.000 0.118
O1 O 0.000 0.000 0.500



Entry 2:
# Sm12Tl4ZnO3 (GGA-PBE, relaxed)
# N(E_F) ... 19.0 states/eV per cell
# Energy relative to the elements, uncorrected ... -0.9655 eV/atom
# Total energy ... -101.55 eV/f.u.
# Magnetic moment ... 0.00 μB per formula unit
data_Sm12Tl4ZnO3
_chemical_formula_sum 'Sm24 Tl8 Zn2 O6'
_space_group_name_H-M_alt 'I m -3 m'
_space_group_IT_number 229
_space_group_name_Hall '-I 4 2 3'
_cell_length_a 10.117
_cell_length_b 10.117
_cell_length_c 10.117
_cell_angle_alpha 90.00
_cell_angle_beta 90.00
_cell_angle_gamma 90.00
loop_
_atom_site_label
_atom_site_type_symbol
_atom_site_fract_x
_atom_site_fract_y
_atom_site_fract_z
Sm1 Sm 0.000 0.000 0.265
Sm2 Sm 0.000 0.250 0.500
Tl1 Tl 0.250 0.250 0.250
Zn1 Zn 0.000 0.000 0.000
O1 O 0.000 0.000 0.500